P | DFT (GGA-PBE) results for crystalline RbW3Au at its relaxed geometry.

DOS(E_F)	6.5	states/eV/f.u.
magnetic moment	5.12	Bohr magnetons per cell
crystal system	cubic
space group	No. 221

```
data_RbW3Au
_symmetry_space_group_name_H-M 'P 1'
_symmetry_Int_Tables_number 1
_cell_length_a 5.084
_cell_length_b 5.084
_cell_length_c 5.084
_cell_angle_alpha 90.00
_cell_angle_beta 90.00
_cell_angle_gamma 90.00
loop_
_symmetry_equiv_pos_as_xyz
'x,y,z'
loop_
_atom_site_label
_atom_site_fract_x
_atom_site_fract_y
_atom_site_fract_z
Rb1 0.000 0.000 0.000
W1 0.000 0.500 0.500
W2 0.500 0.000 0.500
W3 0.500 0.500 0.000
Au1 0.500 0.500 0.500
```



Q | DFT (GGA-PBE) results for crystalline RbW3Au at its relaxed geometry.

DOS(E_F)	4.0	states/eV/f.u.
magnetic moment	0.00	Bohr magnetons per cell
crystal system	cubic
space group	No. 221

```
data_RbW3Au
_symmetry_space_group_name_H-M 'P 1'
_symmetry_Int_Tables_number 1
_cell_length_a 4.666
_cell_length_b 4.666
_cell_length_c 4.666
_cell_angle_alpha 90.00
_cell_angle_beta 90.00
_cell_angle_gamma 90.00
loop_
_symmetry_equiv_pos_as_xyz
'x,y,z'
loop_
_atom_site_label
_atom_site_fract_x
_atom_site_fract_y
_atom_site_fract_z
Rb1 0.000 0.000 0.000
W1 0.000 0.000 0.500
W2 0.000 0.500 0.000
W3 0.500 0.000 0.000
Au1 0.500 0.500 0.500
```



Least stable of them? Q.



P | DFT (GGA-PBE) results for crystalline RbY2Au at its relaxed geometry.

DOS(E_F)	8.7	states/eV/f.u.
magnetic moment	1.23	Bohr magnetons per cell
crystal system	tetragonal
space group	No. 141

```
data_RbY2Au
_symmetry_space_group_name_H-M 'P 1'
_symmetry_Int_Tables_number 1
_cell_length_a 9.985
_cell_length_b 9.985
_cell_length_c 9.985
_cell_angle_alpha 138.87
_cell_angle_beta 138.87
_cell_angle_gamma 59.58
loop_
_symmetry_equiv_pos_as_xyz
'x,y,z'
loop_
_atom_site_label
_atom_site_fract_x
_atom_site_fract_y
_atom_site_fract_z
Rb1 0.375 0.625 0.750
Rb2 0.625 0.375 0.250
Y1 0.000 0.000 0.000
Y2 0.000 0.000 0.500
Y3 0.000 0.500 0.000
Y4 0.500 0.000 0.500
Au1 0.125 0.875 0.250
Au2 0.875 0.125 0.750
```



Q | DFT (GGA-PBE) results for crystalline RbY2Au at its relaxed geometry.

DOS(E_F)	2.6	states/eV/f.u.
magnetic moment	0.00	Bohr magnetons per cell
crystal system	cubic
space group	No. 225

```
data_RbY2Au
_symmetry_space_group_name_H-M 'P 1'
_symmetry_Int_Tables_number 1
_cell_length_a 5.378
_cell_length_b 5.378
_cell_length_c 5.378
_cell_angle_alpha 60.00
_cell_angle_beta 60.00
_cell_angle_gamma 60.00
loop_
_symmetry_equiv_pos_as_xyz
'x,y,z'
loop_
_atom_site_label
_atom_site_fract_x
_atom_site_fract_y
_atom_site_fract_z
Rb1 0.000 0.000 0.000
Y1 0.250 0.250 0.250
Y2 0.750 0.750 0.750
Au1 0.500 0.500 0.500
```



Least stable of them? P.



P | DFT (GGA-PBE) results for crystalline Rb3YAu at its relaxed geometry.

DOS(E_F)	8.1	states/eV/f.u.
magnetic moment	1.78	Bohr magnetons per cell
crystal system	cubic
space group	No. 221

```
data_Rb3YAu
_symmetry_space_group_name_H-M 'P 1'
_symmetry_Int_Tables_number 1
_cell_length_a 6.655
_cell_length_b 6.655
_cell_length_c 6.655
_cell_angle_alpha 90.00
_cell_angle_beta 90.00
_cell_angle_gamma 90.00
loop_
_symmetry_equiv_pos_as_xyz
'x,y,z'
loop_
_atom_site_label
_atom_site_fract_x
_atom_site_fract_y
_atom_site_fract_z
Rb1 0.000 0.000 0.500
Rb2 0.000 0.500 0.000
Rb3 0.500 0.000 0.000
Y1 0.500 0.500 0.500
Au1 0.000 0.000 0.000
```



Q | DFT (GGA-PBE) results for crystalline Rb3YAu at its relaxed geometry.

DOS(E_F)	20.0	states/eV/f.u.
magnetic moment	3.00	Bohr magnetons per cell
crystal system	cubic
space group	No. 221

```
data_Rb3YAu
_symmetry_space_group_name_H-M 'P 1'
_symmetry_Int_Tables_number 1
_cell_length_a 7.520
_cell_length_b 7.520
_cell_length_c 7.520
_cell_angle_alpha 90.00
_cell_angle_beta 90.00
_cell_angle_gamma 90.00
loop_
_symmetry_equiv_pos_as_xyz
'x,y,z'
loop_
_atom_site_label
_atom_site_fract_x
_atom_site_fract_y
_atom_site_fract_z
Rb1 0.000 0.000 0.500
Rb2 0.000 0.500 0.000
Rb3 0.500 0.000 0.000
Y1 0.000 0.000 0.000
Au1 0.500 0.500 0.500
```



Least stable of them? Q.



P | DFT (GGA-PBE) results for crystalline RbZn3Au3 at its relaxed geometry.

DOS(E_F)	2.3	states/eV/f.u.
magnetic moment	0.00	Bohr magnetons per cell
crystal system	trigonal
space group	No. 148

```
data_RbZn3Au3
_symmetry_space_group_name_H-M 'P 1'
_symmetry_Int_Tables_number 1
_cell_length_a 9.120
_cell_length_b 9.120
_cell_length_c 9.120
_cell_angle_alpha 45.67
_cell_angle_beta 45.67
_cell_angle_gamma 45.67
loop_
_symmetry_equiv_pos_as_xyz
'x,y,z'
loop_
_atom_site_label
_atom_site_fract_x
_atom_site_fract_y
_atom_site_fract_z
Rb1 0.166 0.166 0.166
Rb2 0.834 0.834 0.834
Zn1 0.047 0.623 0.209
Zn2 0.209 0.047 0.623
Zn3 0.377 0.791 0.953
Zn4 0.623 0.209 0.047
Zn5 0.791 0.953 0.377
Zn6 0.953 0.377 0.791
Au1 0.168 0.632 0.400
Au2 0.368 0.600 0.832
Au3 0.400 0.168 0.632
Au4 0.600 0.832 0.368
Au5 0.632 0.400 0.168
Au6 0.832 0.368 0.600
```



Q | DFT (GGA-PBE) results for crystalline RbZn3Au3 at its relaxed geometry.

DOS(E_F)	3.0	states/eV/f.u.
magnetic moment	0.00	Bohr magnetons per cell
crystal system	cubic
space group	No. 223

```
data_RbZn3Au3
_symmetry_space_group_name_H-M 'P 1'
_symmetry_Int_Tables_number 1
_cell_length_a 7.263
_cell_length_b 7.263
_cell_length_c 7.263
_cell_angle_alpha 90.00
_cell_angle_beta 90.00
_cell_angle_gamma 90.00
loop_
_symmetry_equiv_pos_as_xyz
'x,y,z'
loop_
_atom_site_label
_atom_site_fract_x
_atom_site_fract_y
_atom_site_fract_z
Rb1 0.000 0.000 0.000
Rb2 0.500 0.500 0.500
Zn1 0.000 0.250 0.500
Zn2 0.000 0.750 0.500
Zn3 0.250 0.500 0.000
Zn4 0.500 0.000 0.250
Zn5 0.500 0.000 0.750
Zn6 0.750 0.500 0.000
Au1 0.000 0.500 0.250
Au2 0.000 0.500 0.750
Au3 0.250 0.000 0.500
Au4 0.500 0.250 0.000
Au5 0.500 0.750 0.000
Au6 0.750 0.000 0.500
```



Least stable of them? Q.



P | DFT (GGA-PBE) results for crystalline RbZn2Au2 at its relaxed geometry.

DOS(E_F)	1.7	states/eV/f.u.
magnetic moment	0.00	Bohr magnetons per cell
crystal system	tetragonal
space group	No. 139

```
data_RbZn2Au2
_symmetry_space_group_name_H-M 'P 1'
_symmetry_Int_Tables_number 1
_cell_length_a 6.409
_cell_length_b 6.409
_cell_length_c 6.409
_cell_angle_alpha 137.11
_cell_angle_beta 137.11
_cell_angle_gamma 62.27
loop_
_symmetry_equiv_pos_as_xyz
'x,y,z'
loop_
_atom_site_label
_atom_site_fract_x
_atom_site_fract_y
_atom_site_fract_z
Rb1 0.000 0.000 0.000
Zn1 0.250 0.750 0.500
Zn2 0.750 0.250 0.500
Au1 0.368 0.368 0.000
Au2 0.632 0.632 0.000
```



Q | DFT (GGA-PBE) results for crystalline RbZn2Au2 at its relaxed geometry.

DOS(E_F)	1.4	states/eV/f.u.
magnetic moment	0.00	Bohr magnetons per cell
crystal system	tetragonal
space group	No. 127

```
data_RbZn2Au2
_symmetry_space_group_name_H-M 'P 1'
_symmetry_Int_Tables_number 1
_cell_length_a 8.407
_cell_length_b 8.407
_cell_length_c 2.939
_cell_angle_alpha 90.00
_cell_angle_beta 90.00
_cell_angle_gamma 90.00
loop_
_symmetry_equiv_pos_as_xyz
'x,y,z'
loop_
_atom_site_label
_atom_site_fract_x
_atom_site_fract_y
_atom_site_fract_z
Rb1 0.000 0.000 0.000
Rb2 0.500 0.500 0.000
Zn1 0.117 0.383 0.000
Zn2 0.383 0.883 0.000
Zn3 0.617 0.117 0.000
Zn4 0.883 0.617 0.000
Au1 0.171 0.671 0.500
Au2 0.329 0.171 0.500
Au3 0.671 0.829 0.500
Au4 0.829 0.329 0.500
```



Least stable of them? Q.



P | DFT (GGA-PBE) results for crystalline RbZn2Au2 at its relaxed geometry.

DOS(E_F)	1.3	states/eV/f.u.
magnetic moment	0.00	Bohr magnetons per cell
crystal system	orthorhombic
space group	No. 70

```
data_RbZn2Au2
_symmetry_space_group_name_H-M 'P 1'
_symmetry_Int_Tables_number 1
_cell_length_a 8.831
_cell_length_b 7.374
_cell_length_c 6.855
_cell_angle_alpha 76.63
_cell_angle_beta 54.32
_cell_angle_gamma 49.05
loop_
_symmetry_equiv_pos_as_xyz
'x,y,z'
loop_
_atom_site_label
_atom_site_fract_x
_atom_site_fract_y
_atom_site_fract_z
Rb1 0.125 0.125 0.125
Rb2 0.875 0.875 0.875
Zn1 0.259 0.259 0.491
Zn2 0.491 0.491 0.259
Zn3 0.509 0.509 0.741
Zn4 0.741 0.741 0.509
Au1 0.195 0.555 0.195
Au2 0.445 0.805 0.445
Au3 0.555 0.195 0.555
Au4 0.805 0.445 0.805
```



Q | DFT (GGA-PBE) results for crystalline RbZn2Au2 at its relaxed geometry.

DOS(E_F)	1.6	states/eV/f.u.
magnetic moment	0.00	Bohr magnetons per cell
crystal system	tetragonal
space group	No. 139

```
data_RbZn2Au2
_symmetry_space_group_name_H-M 'P 1'
_symmetry_Int_Tables_number 1
_cell_length_a 6.163
_cell_length_b 6.163
_cell_length_c 6.163
_cell_angle_alpha 134.09
_cell_angle_beta 134.09
_cell_angle_gamma 66.94
loop_
_symmetry_equiv_pos_as_xyz
'x,y,z'
loop_
_atom_site_label
_atom_site_fract_x
_atom_site_fract_y
_atom_site_fract_z
Rb1 0.000 0.000 0.000
Zn1 0.368 0.368 0.000
Zn2 0.632 0.632 0.000
Au1 0.250 0.750 0.500
Au2 0.750 0.250 0.500
```



Least stable of them? Q.